Entry from Alexandria via LeMat-Bulk: a PBEsol-optimized structure of Mn2CrIr (SCAN).

Cell and atoms, written as POSCAR:
```
Mn2CrIr
1.0
-0.469 -2.523 0.161
0.102 -1.184 2.280
-8.086 0.320 1.977
Cr Ir Mn
1 1 2
direct
0.497 0.497 0.509
0.250 0.250 0.250
0.005 0.005 0.984
0.748 0.748 0.757
```

---

Entry from Alexandria via LeMat-Bulk: a PBEsol-optimized structure of Mn2CrIr (SCAN).

Cell and atoms, written as POSCAR:
```
Mn2CrIr
1.0
-0.653 0.852 2.328
-4.312 -0.590 -1.564
2.497 -4.032 1.050
Mn Cr Ir
2 1 1
direct
0.500 0.500 0.500
0.000 0.000 0.500
0.500 0.000 0.000
0.000 0.500 0.000
```

---

Entry from Alexandria via LeMat-Bulk: a PBEsol-optimized structure of MnCrIr2 (SCAN).

Cell and atoms, written as POSCAR:
```
MnCrIr2
1.0
-2.998 -1.620 -1.259
2.110 -2.694 -1.558
-0.239 -2.017 3.164
Ir Mn Cr
2 1 1
direct
0.000 0.500 0.000
0.000 0.000 0.500
0.500 0.500 0.500
0.500 0.000 0.000
```

## Properties
polymorph energy (0 for the lowest one): 0.000 eV per atom

---

Number 1: energy -125.8 eV per formula unit, ΔH_f (0 K) 4 kJ/mol of atoms, D(E_F) 1.20 states/eV per atom. Number 2: energy -126.5 eV per formula unit, ΔH_f (0 K) -13 kJ/mol of atoms, D(E_F) 0.77 states/eV per atom. Number 3: energy -181.1 eV per formula unit, ΔH_f (0 K) -54 kJ/mol of atoms, D(E_F) 0.67 states/eV per atom.